BePdCBr after structural relaxation, computed with PBE.

The structure in POSCAR format:
```
BePdCBr
1.0
-1.194 -1.185 -3.016
3.345 -0.216 -1.239
1.263 -10.134 5.176
Be C Br Pd
2 2 2 2
direct
0.320 0.000 0.964
0.320 0.500 0.464
0.817 0.000 0.919
0.817 0.500 0.419
0.248 0.000 0.152
0.248 0.500 0.652
0.641 0.000 0.360
0.641 0.500 0.860
```

The value obtained for the density of states at the Fermi level is 0.188 states/eV/atom. As for the uncorrected formation energy: 407 meV/atom. The value obtained for the energy relative to the lowest polymorph listed for this composition is 0.124 eV per atom. As for the space group: No. 8.